DFT (PBE-GGA) results for LiPmHgIr after structural relaxation.

Cell lengths 4.8401, 4.8401, 4.8401 Å; angles 60.00, 60.00, 60.00 degrees
Closest atoms and distances in Å follow each position.
Positions (direct):
Ir1 0.5000 0.5000 0.5000  4 Pm 2.96, 4 Hg 2.96
Li1 0.0000 0.0000 0.0000  4 Pm 2.96, 4 Hg 2.96
Hg1 0.2500 0.2500 0.2500  4 Ir 2.96, 4 Li 2.96
Pm1 0.7500 0.7500 0.7500  4 Ir 2.96, 4 Li 2.96

Properties
Its formation energy is -7.22 kcal/mol of atoms. The symmetry is F-43m.